Entry 1:
The following is a PBE calculation of Ac6SbSe12 after structural relaxation, from Alexandria.

## Properties
ΔE_f (raw) = -1.5674 eV/atom
DOS at the Fermi energy = 15.057 states/eV per cell

```
Ac6SbSe12
1.0
6.603 3.812 4.251
-6.603 3.812 4.251
0.000 -7.625 4.251
Ac Sb Se
6 1 12
direct
0.131 0.809 0.637
0.191 0.363 0.869
0.363 0.869 0.191
0.637 0.131 0.809
0.809 0.637 0.131
0.869 0.191 0.363
0.500 0.500 0.500
0.061 0.917 0.319
0.083 0.681 0.939
0.182 0.454 0.522
0.319 0.061 0.917
0.454 0.522 0.182
0.478 0.818 0.546
0.522 0.182 0.454
0.546 0.478 0.818
0.681 0.939 0.083
0.818 0.546 0.478
0.917 0.319 0.061
0.939 0.083 0.681
```


Entry 2:
The following is a PBE calculation of TbHo5TmSc2 after structural relaxation, from Alexandria.

## Properties
Energy of formation from the pure elements = 0.168 eV/atom
DOS at the Fermi energy = 27.567 states/eV per cell

```
TbHo5TmSc2
1.0
2.777 -10.627 0.000
2.777 10.627 0.000
0.000 0.000 9.279
Tb Ho Tm Sc
2 10 2 4
direct
0.185 0.815 0.500
0.815 0.185 0.000
0.012 0.988 0.495
0.265 0.735 0.817
0.307 0.693 0.201
0.392 0.608 0.530
0.469 0.531 0.231
0.531 0.469 0.731
0.608 0.392 0.030
0.693 0.307 0.701
0.735 0.265 0.317
0.988 0.012 0.995
0.402 0.598 0.904
0.598 0.402 0.404
0.113 0.887 0.807
0.135 0.865 0.184
0.865 0.135 0.684
0.887 0.113 0.307
```


Entry 3:
The following is a PBE calculation of Nd12Tm7In after structural relaxation, from Alexandria.

## Properties
Energy relative to the lowest polymorph listed for this composition = 581 meV/atom
Energy of formation from the pure elements = 0.667 eV/atom
DOS at the Fermi energy = 37.420 states/eV per cell

```
Nd12Tm7In
1.0
-5.792 5.792 5.792
5.792 -5.792 5.792
5.792 5.792 -5.792
Nd Tm In
12 7 1
direct
0.001 0.224 0.778
0.222 0.446 0.224
0.222 0.999 0.776
0.224 0.222 0.446
0.224 0.778 0.001
0.446 0.224 0.222
0.554 0.776 0.778
0.776 0.222 0.999
0.776 0.778 0.554
0.778 0.001 0.224
0.778 0.554 0.776
0.999 0.776 0.222
0.000 0.000 0.500
0.000 0.500 0.000
0.000 0.500 0.500
0.500 0.000 0.000
0.500 0.000 0.500
0.500 0.500 0.000
0.500 0.500 0.500
0.000 0.000 0.000
```


Entry 4:
The following is a PBE calculation of NiBiP3 after structural relaxation, from Alexandria.

## Properties
Energy relative to the lowest polymorph listed for this composition = 60 meV/atom
Energy of formation from the pure elements = -0.023 eV/atom
DOS at the Fermi energy = 1.508 states/eV per cell

```
NiBiP3
1.0
3.248 0.000 0.000
1.512 3.574 0.000
1.487 0.697 8.682
Ni Bi P
1 1 3
direct
0.000 0.000 0.000
0.778 0.098 0.309
0.054 0.118 0.749
0.460 0.437 0.632
0.661 0.605 0.051
```


Entry 5:
The following is a PBE calculation of PrPuS2O after structural relaxation, from Alexandria.

## Properties
ΔE_f (raw) = -2.2798 eV/atom
DOS at the Fermi energy = 11.951 states/eV per cell

```
PrPuS2O
1.0
3.947 0.000 0.000
0.000 3.947 0.000
0.000 0.000 14.192
Pr Pu S O
2 2 4 2
direct
0.250 0.250 0.126
0.750 0.750 0.874
0.250 0.250 0.585
0.750 0.750 0.415
0.250 0.250 0.318
0.250 0.250 0.908
0.750 0.750 0.092
0.750 0.750 0.682
0.250 0.750 0.500
0.750 0.250 0.500
```


Entry 6:
The following is a PBE calculation of Ca2ReN4 after structural relaxation, from Alexandria.

## Properties
Energy relative to the lowest polymorph listed for this composition = 117 meV/atom
ΔE_f (raw) = -0.3793 eV/atom
DOS at the Fermi energy = 9.072 states/eV per cell

```
Ca2ReN4
1.0
3.914 0.000 0.000
0.000 3.914 0.000
0.000 0.000 12.282
Ca Re N
4 2 8
direct
0.000 0.000 0.147
0.000 0.000 0.853
0.500 0.500 0.353
0.500 0.500 0.647
0.000 0.000 0.500
0.500 0.500 0.000
0.000 0.000 0.339
0.000 0.000 0.661
0.000 0.500 0.000
0.000 0.500 0.500
0.500 0.000 0.000
0.500 0.000 0.500
0.500 0.500 0.161
0.500 0.500 0.839
```


| no. | magnetic moment (μB per cell) |
| --- | --- |
| 1 | 0.00 |
| 2 | 0.00 |
| 3 | 0.00 |
| 4 | 0.00 |
| 5 | 9.47 |
| 6 | 1.14 |